Entry 1:
Compound: NaTiCrAs2
Source: Alexandria via LeMat-Bulk
Functional: PBE-GGA
Structure: optimized geometry

Unit cell a=4.8527 b=4.5021 c=4.8527 alpha=90.00 beta=90.00 gamma=90.00
Each line ends with the local moment (μB).
Element x y z (fractional)
Cr  0.5000  0.5000  0.5000  -0.22
As  0.0000  0.0000  0.5000  -0.05
As  0.5000  0.0000  0.0000  -0.06
Na  0.0000  0.0000  0.0000  0.03
Ti  0.0000  0.5000  0.0000  1.58

Output
E in eV/atom: -3.932
E_form in kJ per mole of atoms: 164
Space-group type: No. 123
Crystal system: tetragonal

Entry 2:
Compound: V4MoW4
Source: Alexandria via LeMat-Bulk
Functional: PBE-GGA
Structure: optimized geometry

Unit cell a=3.1125 b=6.7611 c=6.7611 alpha=86.96 beta=76.69 gamma=76.69
Element x y z (fractional)
V  0.5000  0.1623  0.3376
V  0.5000  0.8377  0.6624
V  0.1624  0.8376  0.3377
V  0.8376  0.1624  0.6623
Mo  0.5000  0.5000  0.0000
W  0.1679  0.1643  0.0000
W  0.8321  0.8357  0.0000
W  0.8321  0.5000  0.3357
W  0.1679  0.5000  0.6643

Output
E in eV/atom: -11.078
E_form in kJ per mole of atoms: -6
Space-group type: No. 139
Crystal system: tetragonal

Entry 3:
Compound: Tl3ReBr8
Source: Alexandria via LeMat-Bulk
Functional: PBE-GGA
Structure: optimized geometry

Unit cell a=10.4676 b=9.5469 c=9.5469 alpha=120.00 beta=90.00 gamma=90.00
Each line ends with the local moment (μB).
Element x y z (fractional)
Tl  0.6592  0.7003  0.8501  0.00
Tl  0.6592  0.1499  0.2997  0.00
Tl  0.6592  0.1499  0.8501  0.00
Tl  0.1592  0.2997  0.1499  0.00
Tl  0.1592  0.8501  0.7003  0.00
Tl  0.1592  0.8501  0.1499  0.00
Re  0.1603  0.3333  0.6667  1.59
Re  0.6603  0.6667  0.3333  1.59
Br  0.0268  0.0854  0.5427  0.04
Br  0.0268  0.4573  0.9146  0.04
Br  0.0268  0.4573  0.5427  0.04
Br  0.5268  0.9146  0.4573  0.04
Br  0.5268  0.5427  0.0854  0.04
Br  0.5268  0.5427  0.4573  0.04
Br  0.8005  0.4185  0.2092  0.02
Br  0.8005  0.7908  0.5815  0.02
Br  0.8005  0.7908  0.2092  0.02
Br  0.3005  0.5815  0.7908  0.02
Br  0.3005  0.2092  0.4185  0.02
Br  0.3005  0.2092  0.7908  0.02
Br  0.7131  0.3333  0.6667  -0.04
Br  0.2131  0.6667  0.3333  -0.04
Br  0.9400  0.0000  0.0000  -0.04
Br  0.4400  0.0000  0.0000  -0.04

Output
E in eV/atom: -3.279
Space-group type: No. 186
Crystal system: hexagonal
Formation energy (no corrections) in eV per atom: -0.53

Entry 4:
Compound: PrSm15Dy4
Source: Alexandria via LeMat-Bulk
Functional: PBE-GGA
Structure: optimized geometry

Unit cell a=5.1137 b=5.1137 c=25.5466 alpha=90.00 beta=90.00 gamma=90.00
Element x y z (fractional)
Pr  0.0000  0.0000  0.0000
Sm  0.5000  0.5000  0.0000
Sm  0.5000  0.5000  0.2018
Sm  0.5000  0.5000  0.4005
Sm  0.5000  0.5000  0.5995
Sm  0.5000  0.5000  0.7982
Sm  0.5000  0.0000  0.1018
Sm  0.5000  0.0000  0.3009
Sm  0.5000  0.0000  0.5000
Sm  0.5000  0.0000  0.6991
Sm  0.5000  0.0000  0.8982
Sm  0.0000  0.5000  0.1018
Sm  0.0000  0.5000  0.3009
Sm  0.0000  0.5000  0.5000
Sm  0.0000  0.5000  0.6991
Sm  0.0000  0.5000  0.8982
Dy  0.0000  0.0000  0.2014
Dy  0.0000  0.0000  0.4005
Dy  0.0000  0.0000  0.5995
Dy  0.0000  0.0000  0.7986

Output
E in eV/atom: -4.682
E_form in kJ per mole of atoms: 2
Space-group type: No. 123
Crystal system: tetragonal

Entry 5:
Compound: CoRuSe2
Source: Alexandria via LeMat-Bulk
Functional: PBE-GGA
Structure: optimized geometry

Unit cell a=7.8507 b=7.8507 c=7.8507 alpha=25.21 beta=25.21 gamma=25.21
Each line ends with the local moment (μB).
Element x y z (fractional)
Ru  0.5000  0.5000  0.5000  0.65
Co  0.0000  0.0000  0.0000  1.75
Se  0.9006  0.9006  0.9006  0.07
Se  0.0994  0.0994  0.0994  0.07

Output
E in eV/atom: -5.582
Space-group type: No. 166
Crystal system: trigonal
Formation energy (no corrections) in eV per atom: 0.26
ΔE to the lowest computed polymorph in meV per atom: 520

Entry 6:
Compound: TaAlMo2
Source: Alexandria via LeMat-Bulk
Functional: PBE-GGA
Structure: optimized geometry

Unit cell a=2.7820 b=2.7820 c=8.7523 alpha=90.00 beta=90.00 gamma=107.25
Element x y z (fractional)
Mo  0.0000  0.0000  0.9902
Mo  0.0000  0.0000  0.5098
Al  0.5000  0.5000  0.7500
Ta  0.5000  0.5000  0.2500

Output
E in eV/atom: -9.453
E_form in kJ per mole of atoms: -13
Space-group type: No. 65
Crystal system: orthorhombic

Entry 7:
Compound: TaF
Source: Alexandria via LeMat-Bulk
Functional: PBE-GGA
Structure: optimized geometry

Unit cell a=5.2727 b=5.2727 c=4.1536 alpha=90.00 beta=90.00 gamma=90.00
Element x y z (fractional)
Ta  0.8076  0.8076  0.0000
Ta  0.3076  0.6924  0.5000
Ta  0.6924  0.3076  0.5000
Ta  0.1924  0.1924  0.0000
F  0.6505  0.3495  0.0000
F  0.1505  0.1505  0.5000
F  0.8495  0.8495  0.5000
F  0.3495  0.6505  0.0000

Output
E in eV/atom: -7.205
Space-group type: No. 136
Crystal system: tetragonal
Formation energy (no corrections) in eV per atom: -0.34
ΔE to the lowest computed polymorph in meV per atom: 1319

Entry 8:
Compound: Tb7Pm2Er3
Source: Alexandria via LeMat-Bulk
Functional: PBE-GGA
Structure: optimized geometry

Unit cell a=3.5193 b=6.3365 c=17.8932 alpha=75.57 beta=90.00 gamma=90.00
Element x y z (fractional)
Tb  0.5000  0.2415  0.5018
Tb  0.5000  0.7585  0.4982
Tb  0.0000  0.5616  0.1637
Tb  0.0000  0.0000  0.0000
Tb  0.0000  0.4384  0.8363
Tb  0.5000  0.9395  0.8322
Tb  0.5000  0.0605  0.1678
Pm  0.5000  0.6129  0.3276
Pm  0.5000  0.3871  0.6724
Er  0.5000  0.5000  0.0000
Er  0.0000  0.1100  0.3422
Er  0.0000  0.8900  0.6578

Output
E in eV/atom: -4.561
E_form in kJ per mole of atoms: 7
Space-group type: No. 10
Crystal system: monoclinic
ΔE to the lowest computed polymorph in meV per atom: 0

Entry 9:
Compound: BaSrBiSbO6
Source: Alexandria via LeMat-Bulk
Functional: PBE-GGA
Structure: optimized geometry

Unit cell a=6.0220 b=6.0220 c=6.0220 alpha=61.01 beta=61.01 gamma=61.01
Element x y z (fractional)
Ba  0.7495  0.7495  0.7495
Sr  0.2632  0.2632  0.2632
Bi  0.0011  0.0011  0.0011
Sb  0.5005  0.5005  0.5005
O  0.8105  0.2759  0.6481
O  0.2759  0.6481  0.8105
O  0.6481  0.8105  0.2759
O  0.2069  0.7167  0.3275
O  0.7167  0.3275  0.2069
O  0.3275  0.2069  0.7167

Output
E in eV/atom: -6.171
Space-group type: No. 146
Crystal system: trigonal
Formation energy (no corrections) in eV per atom: -2.04
ΔE to the lowest computed polymorph in meV per atom: 3

Entry 10:
Compound: LiNbInRu
Source: Alexandria via LeMat-Bulk
Functional: PBE-GGA
Structure: optimized geometry

Unit cell a=4.5046 b=4.5046 c=4.5046 alpha=60.00 beta=60.00 gamma=60.00
Element x y z (fractional)
Ru  0.7500  0.7500  0.7500
Nb  0.0000  0.0000  0.0000
Li  0.2500  0.2500  0.2500
In  0.5000  0.5000  0.5000

Output
E in eV/atom: -6.160
E_form in kJ per mole of atoms: -15
Space-group type: No. 216
Crystal system: cubic

Entry 11:
Compound: Ho2Zn
Source: Alexandria via LeMat-Bulk
Functional: PBE-GGA
Structure: optimized geometry

Unit cell a=3.5498 b=3.5498 c=12.0846 alpha=90.00 beta=90.00 gamma=90.00
Element x y z (fractional)
Ho  0.5000  0.5000  0.0000
Ho  0.5000  0.5000  0.2912
Ho  0.0000  0.0000  0.5000
Ho  0.5000  0.5000  0.7088
Zn  0.0000  0.0000  0.8550
Zn  0.0000  0.0000  0.1450

Output
E in eV/atom: -3.701
E_form in kJ per mole of atoms: -22
Space-group type: No. 123
Crystal system: tetragonal

Entry 12:
Compound: Tb2PrTh3Se6
Source: Alexandria via LeMat-Bulk
Functional: PBE-GGA
Structure: optimized geometry

Unit cell a=7.0957 b=7.0957 c=7.4252 alpha=99.10 beta=99.10 gamma=119.37
Element x y z (fractional)
Tb  0.3318  0.6682  0.0000
Tb  0.6682  0.3318  0.0000
Pr  0.0000  0.0000  0.0000
Th  0.1598  0.8402  0.5000
Th  0.8402  0.1598  0.5000
Th  0.5000  0.5000  0.5000
Se  0.9184  0.5754  0.7560
Se  0.7345  0.7345  0.2348
Se  0.0816  0.4246  0.2440
Se  0.5754  0.9184  0.7560
Se  0.2655  0.2655  0.7652
Se  0.4246  0.0816  0.2440

Output
E in eV/atom: -6.421
Space-group type: No. 12
Crystal system: monoclinic
Formation energy (no corrections) in eV per atom: -1.65

Entry 13:
Compound: Cd2AgWSe
Source: Alexandria via LeMat-Bulk
Functional: PBE-GGA
Structure: optimized geometry

Unit cell a=5.0835 b=5.1438 c=5.0835 alpha=90.00 beta=90.00 gamma=90.00
Each line ends with the local moment (μB).
Element x y z (fractional)
Se  0.5000  0.5000  0.5000  -0.21
Ag  0.0000  0.0000  0.0000  0.04
W  0.0000  0.5000  0.0000  2.34
Cd  0.0000  0.0000  0.5000  -0.05
Cd  0.5000  0.0000  0.0000  -0.06

Output
E in eV/atom: -2.962
Space-group type: No. 123
Crystal system: tetragonal
Formation energy (no corrections) in eV per atom: 1.26

Entry 14:
Compound: DyY2Cd6
Source: Alexandria via LeMat-Bulk
Functional: PBE-GGA
Structure: optimized geometry

Unit cell a=3.4555 b=8.6010 c=8.6010 alpha=120.00 beta=90.00 gamma=90.00
Element x y z (fractional)
Dy  0.0000  0.0000  0.0000
Y  0.0000  0.3333  0.6667
Y  0.0000  0.6667  0.3333
Cd  0.5000  0.3333  0.3333
Cd  0.5000  0.6667  0.6667
Cd  0.5000  0.0000  0.6667
Cd  0.5000  0.6667  0.0000
Cd  0.5000  0.3333  0.0000
Cd  0.5000  0.0000  0.3333

Output
E in eV/atom: -2.888
E_form in kJ per mole of atoms: -32
Space-group type: No. 191
Crystal system: hexagonal

Entry 15:
Compound: Tm2OsRu3
Source: Alexandria via LeMat-Bulk
Functional: PBE-GGA
Structure: optimized geometry

Unit cell a=5.2761 b=5.2762 c=8.7329 alpha=90.00 beta=90.00 gamma=120.00
Element x y z (fractional)
Tm  0.6667  0.3333  0.4344
Tm  0.3333  0.6667  0.5656
Tm  0.3333  0.6667  0.9344
Tm  0.6667  0.3333  0.0656
Os  0.0000  0.0000  0.5000
Os  0.0000  0.0000  0.0000
Ru  0.1721  0.3442  0.2500
Ru  0.3442  0.1721  0.7500
Ru  0.8279  0.6558  0.7500
Ru  0.1721  0.8279  0.2500
Ru  0.8279  0.1721  0.7500
Ru  0.6558  0.8279  0.2500

Output
E in eV/atom: -8.369
E_form in kJ per mole of atoms: -36
Space-group type: No. 194
Crystal system: hexagonal

Entry 16:
Compound: Pr2TaS6
Source: Alexandria via LeMat-Bulk
Functional: PBE-GGA
Structure: optimized geometry

Unit cell a=6.1700 b=7.5214 c=8.9540 alpha=90.00 beta=92.47 gamma=90.00
Element x y z (fractional)
Pr  0.9546  0.3876  0.7455
Pr  0.5454  0.8876  0.7545
Pr  0.4546  0.1124  0.2455
Pr  0.0454  0.6124  0.2545
Ta  0.5000  0.5000  0.0000
Ta  0.0000  0.0000  0.5000
S  0.8960  0.9746  0.2358
S  0.8456  0.7055  0.5519
S  0.8334  0.6633  0.9493
S  0.6666  0.1633  0.5507
S  0.6544  0.2055  0.9481
S  0.6040  0.4746  0.2642
S  0.1040  0.0254  0.7642
S  0.1544  0.2945  0.4481
S  0.1666  0.3367  0.0507
S  0.3334  0.8367  0.4493
S  0.3456  0.7945  0.0519
S  0.3960  0.5254  0.7358

Output
E in eV/atom: -6.549
Space-group type: No. 14
Crystal system: monoclinic
Formation energy (no corrections) in eV per atom: -1.42

Entry 17:
Compound: LiTbZrCo
Source: Alexandria via LeMat-Bulk
Functional: PBE-GGA
Structure: optimized geometry

Unit cell a=4.7216 b=4.7216 c=4.7216 alpha=60.00 beta=60.00 gamma=60.00
Element x y z (fractional)
Co  0.5000  0.5000  0.5000
Tb  0.7500  0.7500  0.7500
Zr  0.2500  0.2500  0.2500
Li  0.0000  0.0000  0.0000

Output
E in eV/atom: -5.541
E_form in kJ per mole of atoms: 1
Space-group type: No. 216
Crystal system: cubic

Entry 18:
Compound: TcMo2As
Source: Alexandria via LeMat-Bulk
Functional: PBE-GGA
Structure: optimized geometry

Unit cell a=4.1507 b=2.9164 c=5.8515 alpha=59.91 beta=90.00 gamma=90.00
Element x y z (fractional)
As  0.5000  0.7500  0.7500
Mo  0.0000  0.0023  0.0000
Mo  0.0000  0.4977  0.5000
Tc  0.5000  0.2500  0.2500

Output
E in eV/atom: -9.124
E_form in kJ per mole of atoms: 4
Space-group type: No. 10
Crystal system: monoclinic

Entry 19:
Compound: Ba3PbBr
Source: Alexandria via LeMat-Bulk
Functional: PBE-GGA
Structure: optimized geometry

Unit cell a=6.1793 b=6.1793 c=6.1793 alpha=90.00 beta=90.00 gamma=90.00
Element x y z (fractional)
Pb  0.5000  0.5000  0.5000
Ba  0.0000  0.5000  0.0000
Ba  0.0000  0.0000  0.5000
Ba  0.5000  0.0000  0.0000
Br  0.0000  0.0000  0.0000

Output
E in eV/atom: -2.907
Space-group type: No. 221
Crystal system: cubic
Formation energy (no corrections) in eV per atom: -0.68
ΔE to the lowest computed polymorph in meV per atom: 256

Entry 20:
Compound: Er3ThRu4
Source: Alexandria via LeMat-Bulk
Functional: PBE-GGA
Structure: optimized geometry

Unit cell a=4.8328 b=4.8328 c=8.3350 alpha=73.15 beta=73.15 gamma=60.00
Element x y z (fractional)
Ru  0.8774  0.8774  0.3679
Ru  0.3733  0.3733  0.8802
Ru  0.1226  0.1226  0.6321
Ru  0.6267  0.6267  0.1198
Th  0.0000  0.0000  0.0000
Er  0.2456  0.2456  0.2632
Er  0.7544  0.7544  0.7368
Er  0.5000  0.5000  0.5000

Output
E in eV/atom: -7.745
E_form in kJ per mole of atoms: -45
Space-group type: No. 166
Crystal system: trigonal

Number 1: total magnetic moment 1.617 μB per formula unit. Number 2: total magnetic moment 0.000 μB per formula unit. Number 3: total magnetic moment 1.964 μB per formula unit. Number 4: total magnetic moment 0.000 μB per formula unit. Number 5: total magnetic moment 2.565 μB per formula unit. Number 6: total magnetic moment 0.000 μB per formula unit. Number 7: total magnetic moment 0.000 μB per formula unit. Number 8: total magnetic moment 0.000 μB per formula unit. Number 9: total magnetic moment 0.000 μB per formula unit. Number 10: total magnetic moment 0.000 μB per formula unit. Number 11: total magnetic moment 0.000 μB per formula unit. Number 12: total magnetic moment 0.000 μB per formula unit. Number 13: total magnetic moment 2.625 μB per formula unit. Number 14: total magnetic moment 0.004 μB per formula unit. Number 15: total magnetic moment 0.000 μB per formula unit. Number 16: total magnetic moment 0.000 μB per formula unit. Number 17: total magnetic moment 0.000 μB per formula unit. Number 18: total magnetic moment 0.000 μB per formula unit. Number 19: total magnetic moment 0.000 μB per formula unit. Number 20: total magnetic moment 0.000 μB per formula unit.